Record 1
# TeClF2 (PBE-GGA, optimized geometry)
# - Total moment: 0.0 μB per cell
# - Uncorrected formation energy: -0.561 eV/atom
# - ΔE to the lowest computed polymorph: 369.4 meV per atom
data_TeClF2
_symmetry_space_group_name_H-M 'F m -3 m'
_symmetry_Int_Tables_number 225
_symmetry_space_group_name_Hall '-F 4 2 3'
_cell_length_a 6.1886
_cell_length_b 6.1886
_cell_length_c 6.1886
_cell_angle_alpha 90.00
_cell_angle_beta 90.00
_cell_angle_gamma 90.00
loop_
_atom_site_label
_atom_site_type_symbol
_atom_site_fract_x
_atom_site_fract_y
_atom_site_fract_z
Te1 Te 0.0000 0.0000 0.0000
Cl1 Cl 0.0000 0.0000 0.5000
F1 F 0.2500 0.2500 0.2500



Record 2
# BaGaO (PBE-GGA, optimized geometry)
# - Total moment: 0.0 μB per cell
# - Uncorrected formation energy: -1.591 eV/atom
# - ΔE to the lowest computed polymorph: 0.0 meV per atom
data_BaGaO
_symmetry_space_group_name_H-M 'P 1 21/m 1'
_symmetry_Int_Tables_number 11
_cell_length_a 4.1003
_cell_length_b 4.3196
_cell_length_c 7.7023
_cell_angle_alpha 90.00
_cell_angle_beta 103.91
_cell_angle_gamma 90.00
loop_
_symmetry_equiv_pos_as_xyz
'x,y,z'
'-x,-y,-z'
'-x,y+1/2,-z'
'x,-y+1/2,z'
loop_
_atom_site_label
_atom_site_type_symbol
_atom_site_fract_x
_atom_site_fract_y
_atom_site_fract_z
Ba1 Ba 0.1765 0.2500 0.3097
Ga1 Ga 0.3932 0.2500 0.9256
O1 O 0.3469 0.2500 0.6683



Record 3
# NaPuInHg (PBE-GGA, optimized geometry)
# - ΔH_f (0 K): -0.059 eV per atom
# - Total moment: 23.1 μB per cell
data_NaPuInHg
_symmetry_space_group_name_H-M 'F -4 3 m'
_symmetry_Int_Tables_number 216
_symmetry_space_group_name_Hall 'F -4 2 3'
_cell_length_a 7.4903
_cell_length_b 7.4903
_cell_length_c 7.4903
_cell_angle_alpha 90.00
_cell_angle_beta 90.00
_cell_angle_gamma 90.00
loop_
_atom_site_label
_atom_site_type_symbol
_atom_site_fract_x
_atom_site_fract_y
_atom_site_fract_z
Na1 Na 0.0000 0.0000 0.0000
Pu1 Pu 0.0000 0.0000 0.5000
In1 In 0.2500 0.2500 0.7500
Hg1 Hg 0.2500 0.2500 0.2500



Record 4
# Cu2SiPdPt (PBE-GGA, optimized geometry)
# - Total moment: 0.0 μB per cell
# - Uncorrected formation energy: 0.560 eV/atom
data_Cu2SiPdPt
_symmetry_space_group_name_H-M 'P 4/m m m'
_symmetry_Int_Tables_number 123
_symmetry_space_group_name_Hall '-P 4 2'
_cell_length_a 4.7282
_cell_length_b 4.7282
_cell_length_c 4.4275
_cell_angle_alpha 90.00
_cell_angle_beta 90.00
_cell_angle_gamma 90.00
loop_
_atom_site_label
_atom_site_type_symbol
_atom_site_fract_x
_atom_site_fract_y
_atom_site_fract_z
Cu1 Cu 0.0000 0.5000 0.0000
Si1 Si 0.0000 0.0000 0.5000
Pd1 Pd 0.5000 0.5000 0.5000
Pt1 Pt 0.0000 0.0000 0.0000



Record 5
# HfBMo2W (PBE-GGA, optimized geometry)
# - ΔH_f (0 K): 1.411 eV per atom
# - Total moment: 0.0 μB per cell
data_HfBMo2W
_symmetry_space_group_name_H-M 'P 4/m m m'
_symmetry_Int_Tables_number 123
_symmetry_space_group_name_Hall '-P 4 2'
_cell_length_a 4.8454
_cell_length_b 4.8454
_cell_length_c 4.0670
_cell_angle_alpha 90.00
_cell_angle_beta 90.00
_cell_angle_gamma 90.00
loop_
_atom_site_label
_atom_site_type_symbol
_atom_site_fract_x
_atom_site_fract_y
_atom_site_fract_z
Hf1 Hf 0.0000 0.0000 0.0000
B1 B 0.5000 0.5000 0.0000
Mo1 Mo 0.0000 0.5000 0.5000
W1 W 0.5000 0.5000 0.5000



Record 6
# InHRh3 (PBE-GGA, optimized geometry)
# - Total moment: 0.0 μB per cell
# - ΔE to the lowest computed polymorph: 76.2 meV per atom
data_InHRh3
_symmetry_space_group_name_H-M 'C 1 m 1'
_symmetry_Int_Tables_number 8
_cell_length_a 7.7431
_cell_length_b 5.7221
_cell_length_c 5.9055
_cell_angle_alpha 90.00
_cell_angle_beta 90.44
_cell_angle_gamma 90.00
loop_
_symmetry_equiv_pos_as_xyz
'x,y,z'
'x,-y,z'
'x+1/2,y+1/2,z'
'x+1/2,-y+1/2,z'
loop_
_atom_site_label
_atom_site_type_symbol
_atom_site_fract_x
_atom_site_fract_y
_atom_site_fract_z
In1 In 0.0000 0.0000 0.0000
In2 In 0.0098 0.0000 0.5004
H1 H 0.1235 0.5000 0.2532
H2 H 0.3029 0.0000 0.0666
Rh1 Rh 0.0072 0.5000 0.5226
Rh2 Rh 0.0170 0.5000 0.9736
Rh3 Rh 0.2600 0.2478 0.7446
Rh4 Rh 0.2621 0.2460 0.2561



Record 7
# CuTc2Ir (PBE-GGA, optimized geometry)
# - ΔH_f (0 K): 0.266 eV per atom
# - Total moment: 0.0 μB per cell
# - ΔE to the lowest computed polymorph: 223.8 meV per atom
data_CuTc2Ir
_symmetry_space_group_name_H-M 'C m m 2'
_symmetry_Int_Tables_number 35
_cell_length_a 2.8150
_cell_length_b 4.5305
_cell_length_c 9.0171
_cell_angle_alpha 90.00
_cell_angle_beta 90.00
_cell_angle_gamma 90.00
loop_
_symmetry_equiv_pos_as_xyz
'x,y,z'
'-x,-y,z'
'-x,y,z'
'x,-y,z'
'x+1/2,y+1/2,z'
'-x+1/2,-y+1/2,z'
'-x+1/2,y+1/2,z'
'x+1/2,-y+1/2,z'
loop_
_atom_site_label
_atom_site_type_symbol
_atom_site_fract_x
_atom_site_fract_y
_atom_site_fract_z
Cu1 Cu 0.0000 0.0000 0.0000
Tc1 Tc 0.0000 0.0000 0.5040
Tc2 Tc 0.0000 0.5000 0.7504
Ir1 Ir 0.0000 0.5000 0.2480



Record 8
# BaLiNiGe2 (PBE-GGA, optimized geometry)
# - ΔH_f (0 K): 0.151 eV per atom
# - Total moment: 0.0 μB per cell
# - ΔE to the lowest computed polymorph: 428.4 meV per atom
data_BaLiNiGe2
_symmetry_space_group_name_H-M 'P 4/m m m'
_symmetry_Int_Tables_number 123
_symmetry_space_group_name_Hall '-P 4 2'
_cell_length_a 4.7715
_cell_length_b 4.7715
_cell_length_c 4.7651
_cell_angle_alpha 90.00
_cell_angle_beta 90.00
_cell_angle_gamma 90.00
loop_
_atom_site_label
_atom_site_type_symbol
_atom_site_fract_x
_atom_site_fract_y
_atom_site_fract_z
Ba1 Ba 0.0000 0.0000 0.0000
Li1 Li 0.5000 0.5000 0.5000
Ni1 Ni 0.5000 0.5000 0.0000
Ge1 Ge 0.0000 0.5000 0.5000



Record 9
# Al2CdHg (PBE-GGA, optimized geometry)
# - ΔH_f (0 K): 0.114 eV per atom
# - Total moment: 0.0 μB per cell
# - ΔE to the lowest computed polymorph: 0.0 meV per atom
data_Al2CdHg
_symmetry_space_group_name_H-M 'P 1 m 1'
_symmetry_Int_Tables_number 6
_cell_length_a 2.9917
_cell_length_b 3.1981
_cell_length_c 8.7472
_cell_angle_alpha 90.00
_cell_angle_beta 93.37
_cell_angle_gamma 90.00
loop_
_symmetry_equiv_pos_as_xyz
'x,y,z'
'x,-y,z'
loop_
_atom_site_label
_atom_site_type_symbol
_atom_site_fract_x
_atom_site_fract_y
_atom_site_fract_z
Al1 Al 0.0000 0.0000 0.0000
Al2 Al 0.4511 0.5000 0.7950
Cd1 Cd 0.5884 0.5000 0.2398
Hg1 Hg 0.4809 0.0000 0.5293



Record 10
# Ba2MgNpTe5 (PBE-GGA, optimized geometry)
# - Total moment: 12.0 μB per cell
# - Uncorrected formation energy: -1.175 eV/atom
data_Ba2MgNpTe5
_symmetry_space_group_name_H-M 'C m c 21'
_symmetry_Int_Tables_number 36
_cell_length_a 4.6685
_cell_length_b 20.0962
_cell_length_c 14.2424
_cell_angle_alpha 90.00
_cell_angle_beta 90.00
_cell_angle_gamma 90.00
loop_
_symmetry_equiv_pos_as_xyz
'x,y,z'
'-x,-y,z+1/2'
'-x,y,z'
'x,-y,z+1/2'
'x+1/2,y+1/2,z'
'-x+1/2,-y+1/2,z+1/2'
'-x+1/2,y+1/2,z'
'x+1/2,-y+1/2,z+1/2'
loop_
_atom_site_label
_atom_site_type_symbol
_atom_site_fract_x
_atom_site_fract_y
_atom_site_fract_z
Ba1 Ba 0.0000 0.1114 0.0000
Ba2 Ba 0.0000 0.1256 0.6279
Mg1 Mg 0.0000 0.4426 0.7581
Np1 Np 0.0000 0.2065 0.3303
Te1 Te 0.0000 0.0563 0.3680
Te2 Te 0.0000 0.2887 0.9718
Te3 Te 0.0000 0.3059 0.6845
Te4 Te 0.0000 0.3567 0.3177
Te5 Te 0.0000 0.4978 0.0856



Record 11
# BaCoCl (PBE-GGA, optimized geometry)
# - Total moment: 7.6 μB per cell
# - Uncorrected formation energy: -0.707 eV/atom
# - ΔE to the lowest computed polymorph: 172.0 meV per atom
data_BaCoCl
_symmetry_space_group_name_H-M 'R 3 m'
_symmetry_Int_Tables_number 160
_symmetry_space_group_name_Hall 'R 3 -2"'
_cell_length_a 4.1223
_cell_length_b 4.1223
_cell_length_c 34.2724
_cell_angle_alpha 90.00
_cell_angle_beta 90.00
_cell_angle_gamma 120.00
loop_
_atom_site_label
_atom_site_type_symbol
_atom_site_fract_x
_atom_site_fract_y
_atom_site_fract_z
Ba1 Ba 0.0000 0.0000 0.0000
Ba2 Ba 0.0000 0.0000 0.1378
Co1 Co 0.0000 0.0000 0.5412
Co2 Co 0.0000 0.0000 0.8640
Cl1 Cl 0.0000 0.0000 0.3974
Cl2 Cl 0.0000 0.0000 0.6112



Record 12
# Pa2Ni4Sn (PBE-GGA, optimized geometry)
# - ΔH_f (0 K): 0.222 eV per atom
# - Total moment: 0.0 μB per cell
data_Pa2Ni4Sn
_symmetry_space_group_name_H-M 'C m m m'
_symmetry_Int_Tables_number 65
_symmetry_space_group_name_Hall '-C 2 2'
_cell_length_a 5.0443
_cell_length_b 10.8739
_cell_length_c 4.9487
_cell_angle_alpha 90.00
_cell_angle_beta 90.00
_cell_angle_gamma 90.00
loop_
_atom_site_label
_atom_site_type_symbol
_atom_site_fract_x
_atom_site_fract_y
_atom_site_fract_z
Pa1 Pa 0.0000 0.1412 0.0000
Ni1 Ni 0.0000 0.1081 0.5000
Ni2 Ni 0.0000 0.3895 0.0000
Sn1 Sn 0.0000 0.5000 0.5000